No. 1
V2TeC | PBE-GGA | relaxed

The structure in extended XYZ format:
```
16
Lattice="6.0359 0.0000 0.0000 0.0000 6.0359 0.0000 0.0000 0.0000 6.0359" Properties=species:S:1:pos:R:3 pbc="T T T"
V 1.5090 1.5090 1.5090
V 1.5090 1.5090 4.5270
V 1.5090 4.5270 1.5090
V 1.5090 4.5270 4.5270
V 4.5270 1.5090 1.5090
V 4.5270 1.5090 4.5270
V 4.5270 4.5270 1.5090
V 4.5270 4.5270 4.5270
Te 0.0000 0.0000 0.0000
Te 0.0000 3.0180 3.0180
Te 3.0180 0.0000 3.0180
Te 3.0180 3.0180 0.0000
C 0.0000 0.0000 3.0180
C 0.0000 3.0180 0.0000
C 3.0180 0.0000 0.0000
C 3.0180 3.0180 3.0180
```

VASP energy, eV per cell: -108.0

No. 2
Pm2PrSm2Dy | PBE-GGA | relaxed

The structure in extended XYZ format:
```
12
Lattice="6.6849 0.0000 0.0000 0.0000 18.0739 0.0000 0.0000 0.0000 3.4452" Properties=species:S:1:pos:R:3 pbc="T T T"
Pm 1.5024 3.3250 0.0000
Pm 1.8401 12.3619 1.7226
Pm 4.8448 5.7120 1.7226
Pm 5.1825 14.7489 0.0000
Pr 0.0000 0.0000 0.0000
Pr 3.3425 9.0370 1.7226
Sm 1.4703 6.3543 1.7226
Sm 1.8721 15.3913 0.0000
Sm 4.8128 2.6826 0.0000
Sm 5.2146 11.7196 1.7226
Dy 0.0000 9.0370 0.0000
Dy 3.3425 0.0000 1.7226
```

Formation energy from the elements, eV per atom: 0.2505

No. 3
Ac6Si3Sn | PBE-GGA | relaxed

The structure in extended XYZ format:
```
20
Lattice="12.7703 0.0000 0.0000 0.0000 4.6477 0.0000 -4.1220 0.0000 12.5902" Properties=species:S:1:pos:R:3 pbc="T T T"
Ac -1.2833 1.1619 4.9437
Ac -2.5019 1.1619 11.9322
Ac 1.7611 3.4858 3.3997
Ac 0.6846 3.4858 9.4877
Ac 2.6007 1.1619 6.7907
Ac 4.9873 3.4858 1.1603
Ac 3.6610 1.1619 11.4300
Ac 6.0476 3.4858 5.7996
Ac 7.9637 1.1619 3.1026
Ac 6.8872 1.1619 9.1905
Ac 11.1502 3.4858 0.6581
Ac 9.9316 3.4858 7.6465
Si -0.1052 1.1619 2.1112
Si 0.3620 3.4858 6.2774
Si 0.5854 1.1619 11.5346
Si 8.0629 3.4858 1.0556
Si 8.2863 1.1619 6.3129
Si 8.7535 3.4858 10.4790
Sn 4.4348 1.1619 3.7889
Sn 4.2135 3.4858 8.8014
```

VASP energy, eV per cell: -98.8

No. 4
Mg2AlHg3 | PBE-GGA | relaxed

The structure in extended XYZ format:
```
12
Lattice="4.8587 0.0000 0.0000 0.0000 6.7441 0.0000 -2.3515 0.0000 7.7706" Properties=species:S:1:pos:R:3 pbc="T T T"
Mg 0.0000 0.0000 0.0000
Mg 0.0000 3.3720 0.0000
Mg 0.0509 0.0000 5.1823
Mg 2.4562 0.0000 2.5883
Al 0.0558 3.3720 5.2414
Al 2.4514 3.3720 2.5293
Hg 0.0251 1.7243 2.6184
Hg 0.0251 5.0198 2.6184
Hg 2.4293 1.6895 0.0000
Hg 2.4293 5.0546 0.0000
Hg 2.4820 1.7243 5.1523
Hg 2.4820 5.0198 5.1523
```

Formation energy from the elements, eV per atom: -0.0761

No. 5
BaSrSm4O8 | PBE-GGA | relaxed

The structure in extended XYZ format:
```
28
Lattice="3.5554 0.0000 0.0000 0.0000 12.3785 0.0000 0.0000 0.0000 10.4788" Properties=species:S:1:pos:R:3 pbc="T T T"
Ba 0.0000 1.2556 0.0000
Ba 0.0000 11.1229 5.2394
Sr 1.7777 4.8926 5.3059
Sr 1.7777 7.4859 0.0665
Sm 0.0000 1.7807 3.4780
Sm 0.0000 4.5044 8.6486
Sm 0.0000 7.8741 3.4092
Sm 0.0000 10.5977 8.7174
Sm 1.7777 1.7233 7.0709
Sm 1.7777 4.5343 1.8060
Sm 1.7777 7.8442 7.0454
Sm 1.7777 10.6552 1.8315
O 0.0000 0.3889 7.7026
O 0.0000 3.3514 6.5239
O 0.0000 4.1332 3.4342
O 0.0000 5.2876 0.3928
O 0.0000 7.0909 5.6322
O 0.0000 8.2453 8.6736
O 0.0000 9.0271 1.2845
O 0.0000 11.9896 2.4633
O 1.7777 1.0222 4.8449
O 1.7777 2.2109 1.9172
O 1.7777 2.8899 9.1369
O 1.7777 5.7232 7.9156
O 1.7777 6.6553 2.6763
O 1.7777 9.4885 3.8975
O 1.7777 10.1676 7.1565
O 1.7777 11.3563 10.0843
```

VASP energy, eV per cell: -213.7

No. 6
RbPdSe2O6 | PBE-GGA | relaxed

The structure in extended XYZ format:
```
10
Lattice="2.7576 1.5921 6.6162 -2.7576 1.5921 6.6162 0.0000 -3.1842 6.6162" Properties=species:S:1:pos:R:3 pbc="T T T"
Rb 0.0000 0.0000 0.0000
Pd 0.0000 0.0000 9.9244
Se 0.0000 0.0000 5.1216
Se 0.0000 0.0000 14.7271
O -1.6751 -0.3502 8.6352
O -0.5343 -1.6257 11.2136
O -1.1408 1.2756 11.2136
O 1.1408 -1.2756 8.6352
O 0.5343 1.6257 8.6352
O 1.6751 0.3502 11.2136
```

VASP energy, eV per cell: -50.3

No. 7
ZnReCl2 | PBE-GGA | relaxed

The structure in extended XYZ format:
```
12
Lattice="2.9292 0.0000 0.0000 -1.4646 2.5368 0.0000 0.0000 0.0000 30.1142" Properties=species:S:1:pos:R:3 pbc="T T T"
Zn 0.0000 0.0000 0.0000
Zn 0.0000 1.6912 20.0762
Zn 1.4646 0.8456 10.0381
Re 0.0000 0.0000 15.0571
Re 0.0000 1.6912 5.0190
Re 1.4646 0.8456 25.0952
Cl 0.0000 0.0000 12.8177
Cl 0.0000 0.0000 17.2965
Cl 0.0000 1.6912 2.7796
Cl 0.0000 1.6912 7.2584
Cl 1.4646 0.8456 22.8558
Cl 1.4646 0.8456 27.3346
```

Distance to the lowest polymorph of the same formula, meV/atom: 196

No. 8
Cd7Cu | PBE-GGA | relaxed

The structure in extended XYZ format:
```
8
Lattice="0.0000 4.3889 4.3889 4.3889 0.0000 4.3889 4.3889 4.3889 0.0000" Properties=species:S:1:pos:R:3 pbc="T T T"
Cd 0.0000 0.0000 0.0000
Cd 2.1944 2.1944 0.0000
Cd 2.1944 0.0000 2.1944
Cd 4.3889 2.1944 2.1944
Cd 0.0000 2.1944 2.1944
Cd 2.1944 4.3889 2.1944
Cd 2.1944 2.1944 4.3889
Cu 4.3889 4.3889 4.3889
```

Formation energy from the elements, eV per atom: 0.0658

Number 1: mass density 7.3 g/cm³. Number 2: mass density 7.1 g/cm³. Number 3: mass density 7.0 g/cm³. Number 4: mass density 8.8 g/cm³. Number 5: mass density 6.9 g/cm³. Number 6: mass density 4.2 g/cm³. Number 7: mass density 7.2 g/cm³. Number 8: mass density 8.4 g/cm³.